No. 1
Computed, not measured: crystalline CuAg at its relaxed geometry at the PBE level of DFT.

Lattice parameters (Å, degrees): 17.926 2.781 4.834 90.00 94.51 90.00
Sites, in units of the cell vectors:
Cu 0.000 0.000 0.000
Cu 0.006 0.500 0.458
Cu 0.122 0.000 0.349
Cu 0.242 0.500 0.225
Cu 0.500 0.500 0.000
Cu 0.506 0.000 0.458
Cu 0.622 0.500 0.349
Cu 0.742 0.000 0.225
Ag 0.118 0.500 0.856
Ag 0.248 0.000 0.713
Ag 0.373 0.000 0.107
Ag 0.385 0.500 0.605
Ag 0.618 0.000 0.856
Ag 0.748 0.500 0.713
Ag 0.873 0.500 0.107
Ag 0.885 0.000 0.605

Output
Total DFT energy (no corrections) = -3.166 eV per atom
Symmetry = No. 8
Calculated volume = 15.01 Å³ per atom
Crystal system = monoclinic

***

No. 2
Computed, not measured: crystalline CuAg at its relaxed geometry at the PBE level of DFT.

Lattice parameters (Å, degrees): 5.494 7.868 5.564 90.00 90.00 90.00
Sites, in units of the cell vectors:
Cu 0.000 0.000 0.250
Cu 0.000 0.000 0.750
Cu 0.250 0.250 0.000
Cu 0.250 0.750 0.500
Cu 0.500 0.500 0.250
Cu 0.500 0.500 0.750
Cu 0.750 0.250 0.500
Cu 0.750 0.750 0.000
Ag 0.000 0.500 0.250
Ag 0.000 0.500 0.750
Ag 0.250 0.250 0.500
Ag 0.250 0.750 0.000
Ag 0.500 0.000 0.250
Ag 0.500 0.000 0.750
Ag 0.750 0.250 0.000
Ag 0.750 0.750 0.500

Output
Total DFT energy (no corrections) = -3.156 eV per atom
Symmetry = No. 66
Calculated volume = 15.03 Å³ per atom
Crystal system = orthorhombic

***

No. 3
Computed, not measured: crystalline Cu3Ag2 at its relaxed geometry at the PBE level of DFT.

Lattice parameters (Å, degrees): 9.475 9.475 5.535 98.12 98.12 16.83
Sites, in units of the cell vectors:
Cu 0.000 0.000 0.000
Cu 0.003 0.003 0.535
Cu 0.200 0.200 0.113
Cu 0.414 0.414 0.721
Cu 0.419 0.419 0.231
Cu 0.596 0.596 0.822
Ag 0.200 0.200 0.629
Ag 0.595 0.595 0.305
Ag 0.812 0.812 0.420
Ag 0.814 0.814 0.932

Output
Energy relative to the lowest polymorph listed for this composition = 0.041 eV/atom
Symmetry = No. 8
Calculated volume = 14.24 Å³ per atom
Crystal system = monoclinic

***

No. 4
Computed, not measured: crystalline Cu3Ag2 at its relaxed geometry at the PBE level of DFT.

Lattice parameters (Å, degrees): 21.729 21.729 21.729 7.31 7.31 7.31
Sites, in units of the cell vectors:
Cu 0.102 0.102 0.102
Cu 0.201 0.201 0.201
Cu 0.299 0.299 0.299
Cu 0.701 0.701 0.701
Cu 0.799 0.799 0.799
Cu 0.898 0.898 0.898
Ag 0.000 0.000 0.000
Ag 0.402 0.402 0.402
Ag 0.500 0.500 0.500
Ag 0.598 0.598 0.598

Output
Energy relative to the lowest polymorph listed for this composition = 0.074 eV/atom
Symmetry = No. 166
Calculated volume = 14.40 Å³ per atom
Crystal system = trigonal

***

No. 5
Computed, not measured: crystalline Cu3Ag5 at its relaxed geometry at the PBE level of DFT.

Lattice parameters (Å, degrees): 2.861 15.276 5.752 90.00 90.00 90.00
Sites, in units of the cell vectors:
Cu 0.000 0.000 0.000
Cu 0.000 0.500 0.500
Cu 0.500 0.123 0.781
Cu 0.500 0.377 0.281
Cu 0.500 0.623 0.281
Cu 0.500 0.877 0.781
Ag 0.000 0.000 0.546
Ag 0.000 0.246 0.519
Ag 0.000 0.254 0.019
Ag 0.000 0.500 0.046
Ag 0.000 0.746 0.019
Ag 0.000 0.754 0.519
Ag 0.500 0.116 0.255
Ag 0.500 0.384 0.755
Ag 0.500 0.616 0.755
Ag 0.500 0.884 0.255

Output
Energy relative to the lowest polymorph listed for this composition = 0.047 eV/atom
Symmetry = No. 38
Calculated volume = 15.71 Å³ per atom
Crystal system = orthorhombic

***

No. 6
Computed, not measured: crystalline CuAg at its relaxed geometry at the PBE level of DFT.

Lattice parameters (Å, degrees): 2.905 3.209 37.989 90.00 90.00 90.00
Sites, in units of the cell vectors:
Cu 0.250 0.250 0.017
Cu 0.250 0.250 0.086
Cu 0.250 0.250 0.154
Cu 0.250 0.250 0.812
Cu 0.250 0.250 0.880
Cu 0.250 0.250 0.948
Cu 0.750 0.750 0.052
Cu 0.750 0.750 0.120
Cu 0.750 0.750 0.188
Cu 0.750 0.750 0.846
Cu 0.750 0.750 0.914
Cu 0.750 0.750 0.983
Ag 0.250 0.250 0.230
Ag 0.250 0.250 0.328
Ag 0.250 0.250 0.426
Ag 0.250 0.250 0.524
Ag 0.250 0.250 0.623
Ag 0.250 0.250 0.721
Ag 0.750 0.750 0.279
Ag 0.750 0.750 0.377
Ag 0.750 0.750 0.476
Ag 0.750 0.750 0.574
Ag 0.750 0.750 0.672
Ag 0.750 0.750 0.770

Output
Total DFT energy (no corrections) = -3.231 eV per atom
Symmetry = No. 59
Calculated volume = 14.76 Å³ per atom
Crystal system = orthorhombic

***

No. 7
Computed, not measured: crystalline CuAg at its relaxed geometry at the PBE level of DFT.

Lattice parameters (Å, degrees): 6.851 2.830 7.822 90.00 99.79 90.00
Sites, in units of the cell vectors:
Cu 0.000 0.000 0.000
Cu 0.062 0.500 0.278
Cu 0.266 0.500 0.881
Cu 0.543 0.000 0.792
Cu 0.798 0.000 0.386
Ag 0.170 0.000 0.578
Ag 0.365 0.000 0.178
Ag 0.500 0.500 0.488
Ag 0.691 0.500 0.079
Ag 0.864 0.500 0.712

Output
Total DFT energy (no corrections) = -3.178 eV per atom
Symmetry = No. 6
Calculated volume = 14.95 Å³ per atom
Crystal system = monoclinic

***

No. 8
Computed, not measured: crystalline Cu3Ag5 at its relaxed geometry at the PBE level of DFT.

Lattice parameters (Å, degrees): 3.887 4.041 15.968 90.00 90.00 90.00
Sites, in units of the cell vectors:
Cu 0.000 0.000 0.000
Cu 0.000 0.500 0.120
Cu 0.000 0.500 0.880
Cu 0.500 0.000 0.380
Cu 0.500 0.000 0.620
Cu 0.500 0.500 0.500
Ag 0.000 0.000 0.251
Ag 0.000 0.000 0.500
Ag 0.000 0.000 0.749
Ag 0.000 0.500 0.380
Ag 0.000 0.500 0.620
Ag 0.500 0.000 0.120
Ag 0.500 0.000 0.880
Ag 0.500 0.500 0.000
Ag 0.500 0.500 0.249
Ag 0.500 0.500 0.751

Output
Energy relative to the lowest polymorph listed for this composition = 0.054 eV/atom
Symmetry = No. 71
Calculated volume = 15.68 Å³ per atom
Crystal system = orthorhombic

***

No. 9
Computed, not measured: crystalline CuAg at its relaxed geometry at the PBE level of DFT.

Lattice parameters (Å, degrees): 9.542 9.542 5.660 99.18 99.18 17.15
Sites, in units of the cell vectors:
Cu 0.000 0.000 0.000
Cu 0.003 0.003 0.508
Cu 0.414 0.414 0.218
Cu 0.591 0.591 0.800
Cu 0.809 0.809 0.398
Ag 0.200 0.200 0.103
Ag 0.204 0.204 0.607
Ag 0.408 0.408 0.693
Ag 0.593 0.593 0.300
Ag 0.812 0.812 0.928

Output
Total DFT energy (no corrections) = -3.175 eV per atom
Symmetry = No. 8
Calculated volume = 15.00 Å³ per atom
Crystal system = monoclinic

***

No. 10
Computed, not measured: crystalline Cu3Ag7 at its relaxed geometry at the PBE level of DFT.

Lattice parameters (Å, degrees): 7.516 7.516 5.740 100.42 100.42 30.80
Sites, in units of the cell vectors:
Cu 0.000 0.000 0.000
Cu 0.596 0.596 0.285
Cu 0.803 0.803 0.897
Ag 0.003 0.003 0.486
Ag 0.196 0.196 0.095
Ag 0.200 0.200 0.598
Ag 0.400 0.400 0.702
Ag 0.403 0.403 0.185
Ag 0.599 0.599 0.803
Ag 0.797 0.797 0.390

Output
Energy relative to the lowest polymorph listed for this composition = 0.049 eV/atom
Symmetry = No. 8
Calculated volume = 16.31 Å³ per atom
Crystal system = monoclinic

***

No. 11
Computed, not measured: crystalline Cu5Ag3 at its relaxed geometry at the PBE level of DFT.

Lattice parameters (Å, degrees): 2.753 2.753 14.853 90.00 90.00 90.00
Sites, in units of the cell vectors:
Cu 0.000 0.000 0.000
Cu 0.000 0.000 0.217
Cu 0.000 0.000 0.738
Cu 0.500 0.500 0.108
Cu 0.500 0.500 0.325
Ag 0.000 0.000 0.456
Ag 0.500 0.500 0.608
Ag 0.500 0.500 0.869

Output
Energy relative to the lowest polymorph listed for this composition = 0.022 eV/atom
Symmetry = No. 99
Calculated volume = 14.07 Å³ per atom
Crystal system = tetragonal

***

No. 12
Computed, not measured: crystalline Cu6Ag at its relaxed geometry at the PBE level of DFT.

Lattice parameters (Å, degrees): 14.941 14.941 14.941 10.11 10.11 10.11
Sites, in units of the cell vectors:
Cu 0.069 0.069 0.069
Cu 0.219 0.219 0.219
Cu 0.356 0.356 0.356
Cu 0.644 0.644 0.644
Cu 0.781 0.781 0.781
Cu 0.931 0.931 0.931
Ag 0.500 0.500 0.500

Output
Energy relative to the lowest polymorph listed for this composition = 0.022 eV/atom
Symmetry = No. 166
Calculated volume = 12.75 Å³ per atom
Crystal system = trigonal

***

No. 13
Computed, not measured: crystalline Cu7Ag2 at its relaxed geometry at the PBE level of DFT.

Lattice parameters (Å, degrees): 4.622 4.622 8.010 107.05 107.05 47.09
Sites, in units of the cell vectors:
Cu 0.000 0.000 0.000
Cu 0.324 0.324 0.102
Cu 0.326 0.326 0.442
Cu 0.336 0.336 0.788
Cu 0.664 0.664 0.212
Cu 0.674 0.674 0.558
Cu 0.676 0.676 0.898
Ag 0.003 0.003 0.674
Ag 0.997 0.997 0.326

Output
Energy relative to the lowest polymorph listed for this composition = 0.027 eV/atom
Symmetry = No. 12
Calculated volume = 13.19 Å³ per atom
Crystal system = monoclinic

***

No. 14
Computed, not measured: crystalline CuAg at its relaxed geometry at the PBE level of DFT.

Lattice parameters (Å, degrees): 14.080 2.837 4.678 90.00 105.91 90.00
Sites, in units of the cell vectors:
Cu 0.000 0.000 0.000
Cu 0.172 0.000 0.507
Cu 0.328 0.500 0.493
Cu 0.500 0.500 0.000
Cu 0.672 0.500 0.507
Cu 0.828 0.000 0.493
Ag 0.000 0.500 0.500
Ag 0.163 0.500 0.011
Ag 0.337 0.000 0.989
Ag 0.500 0.000 0.500
Ag 0.663 0.000 0.011
Ag 0.837 0.500 0.989

Output
Total DFT energy (no corrections) = -3.171 eV per atom
Symmetry = No. 12
Calculated volume = 14.98 Å³ per atom
Crystal system = monoclinic

***

No. 15
Computed, not measured: crystalline Cu3Ag7 at its relaxed geometry at the PBE level of DFT.

Lattice parameters (Å, degrees): 5.007 5.007 11.770 98.64 98.64 33.60
Sites, in units of the cell vectors:
Cu 0.000 0.000 0.000
Cu 0.053 0.053 0.722
Cu 0.402 0.402 0.829
Ag 0.178 0.178 0.422
Ag 0.303 0.303 0.097
Ag 0.469 0.469 0.530
Ag 0.593 0.593 0.200
Ag 0.692 0.692 0.895
Ag 0.763 0.763 0.646
Ag 0.886 0.886 0.314

Output
Energy relative to the lowest polymorph listed for this composition = 0.026 eV/atom
Symmetry = No. 8
Calculated volume = 16.13 Å³ per atom
Crystal system = monoclinic

***

No. 16
Computed, not measured: crystalline Cu8Ag at its relaxed geometry at the PBE level of DFT.

Lattice parameters (Å, degrees): 4.511 4.517 5.797 75.27 83.00 80.59
Sites, in units of the cell vectors:
Cu 0.058 0.265 0.385
Cu 0.158 0.835 0.163
Cu 0.274 0.388 0.954
Cu 0.384 0.944 0.734
Cu 0.616 0.056 0.266
Cu 0.726 0.612 0.046
Cu 0.842 0.165 0.837
Cu 0.942 0.735 0.615
Ag 0.500 0.500 0.500

Output
Energy relative to the lowest polymorph listed for this composition = 0.008 eV/atom
Symmetry = No. 2
Calculated volume = 12.48 Å³ per atom
Crystal system = triclinic

***

No. 17
Computed, not measured: crystalline Cu3Ag2 at its relaxed geometry at the PBE level of DFT.

Lattice parameters (Å, degrees): 6.688 2.789 7.871 90.00 102.71 90.00
Sites, in units of the cell vectors:
Cu 0.000 0.000 0.000
Cu 0.070 0.500 0.296
Cu 0.193 0.000 0.566
Cu 0.490 0.500 0.504
Cu 0.585 0.000 0.775
Cu 0.788 0.000 0.389
Ag 0.289 0.500 0.876
Ag 0.380 0.000 0.211
Ag 0.697 0.500 0.082
Ag 0.888 0.500 0.686

Output
Energy relative to the lowest polymorph listed for this composition = 0.049 eV/atom
Symmetry = No. 6
Calculated volume = 14.32 Å³ per atom
Crystal system = monoclinic

***

No. 18
Computed, not measured: crystalline Cu3Ag4 at its relaxed geometry at the PBE level of DFT.

Lattice parameters (Å, degrees): 4.833 4.833 4.833 99.54 99.54 99.54
Sites, in units of the cell vectors:
Cu 0.143 0.567 0.290
Cu 0.290 0.143 0.567
Cu 0.567 0.290 0.143
Ag 0.017 0.017 0.017
Ag 0.420 0.709 0.851
Ag 0.709 0.851 0.420
Ag 0.851 0.420 0.709

Output
Energy relative to the lowest polymorph listed for this composition = 0.057 eV/atom
Symmetry = No. 146
Calculated volume = 15.37 Å³ per atom
Crystal system = trigonal

***

No. 19
Computed, not measured: crystalline CuAg at its relaxed geometry at the PBE level of DFT.

Lattice parameters (Å, degrees): 6.022 6.022 9.157 99.82 99.82 26.81
Sites, in units of the cell vectors:
Cu 0.000 0.000 0.000
Cu 0.401 0.401 0.185
Cu 0.501 0.501 0.526
Cu 0.590 0.590 0.809
Cu 0.912 0.912 0.705
Ag 0.084 0.084 0.312
Ag 0.200 0.200 0.609
Ag 0.306 0.306 0.898
Ag 0.696 0.696 0.102
Ag 0.815 0.815 0.399

Output
Total DFT energy (no corrections) = -3.183 eV per atom
Symmetry = No. 8
Calculated volume = 14.74 Å³ per atom
Crystal system = monoclinic

***

No. 20
Computed, not measured: crystalline Cu7Ag2 at its relaxed geometry at the PBE level of DFT.

Lattice parameters (Å, degrees): 4.584 4.584 7.947 106.81 106.81 48.53
Sites, in units of the cell vectors:
Cu 0.000 0.000 0.000
Cu 0.012 0.012 0.345
Cu 0.324 0.324 0.760
Cu 0.337 0.337 0.452
Cu 0.663 0.663 0.548
Cu 0.676 0.676 0.240
Cu 0.988 0.988 0.655
Ag 0.343 0.343 0.121
Ag 0.657 0.657 0.879

Output
Energy relative to the lowest polymorph listed for this composition = 0.023 eV/atom
Symmetry = No. 12
Calculated volume = 13.19 Å³ per atom
Crystal system = monoclinic

***

No. 21
Computed, not measured: crystalline CuAg8 at its relaxed geometry at the PBE level of DFT.

Lattice parameters (Å, degrees): 5.045 5.045 11.938 111.87 111.87 33.74
Sites, in units of the cell vectors:
Cu 0.000 0.000 0.000
Ag 0.108 0.108 0.441
Ag 0.239 0.239 0.895
Ag 0.326 0.326 0.331
Ag 0.459 0.459 0.791
Ag 0.541 0.541 0.209
Ag 0.674 0.674 0.669
Ag 0.761 0.761 0.105
Ag 0.892 0.892 0.559

Output
Energy relative to the lowest polymorph listed for this composition = 0.009 eV/atom
Symmetry = No. 12
Calculated volume = 17.27 Å³ per atom
Crystal system = monoclinic

***

No. 22
Computed, not measured: crystalline CuAg at its relaxed geometry at the PBE level of DFT.

Lattice parameters (Å, degrees): 5.583 5.583 9.677 94.05 94.05 29.70
Sites, in units of the cell vectors:
Cu 0.000 0.000 0.000
Cu 0.305 0.305 0.916
Cu 0.381 0.381 0.167
Cu 0.619 0.619 0.833
Cu 0.695 0.695 0.084
Ag 0.078 0.078 0.270
Ag 0.208 0.208 0.621
Ag 0.500 0.500 0.500
Ag 0.792 0.792 0.379
Ag 0.922 0.922 0.730

Output
Total DFT energy (no corrections) = -3.197 eV per atom
Symmetry = No. 12
Calculated volume = 14.91 Å³ per atom
Crystal system = monoclinic

***

No. 23
Computed, not measured: crystalline Cu3Ag2 at its relaxed geometry at the PBE level of DFT.

Lattice parameters (Å, degrees): 5.827 5.827 9.227 98.53 98.53 27.28
Sites, in units of the cell vectors:
Cu 0.043 0.043 0.132
Cu 0.266 0.266 0.787
Cu 0.349 0.349 0.046
Cu 0.651 0.651 0.954
Cu 0.734 0.734 0.213
Cu 0.957 0.957 0.868
Ag 0.150 0.150 0.423
Ag 0.429 0.429 0.335
Ag 0.571 0.571 0.665
Ag 0.850 0.850 0.577

Output
Energy relative to the lowest polymorph listed for this composition = 0.032 eV/atom
Symmetry = No. 12
Calculated volume = 14.19 Å³ per atom
Crystal system = monoclinic